(1)
Entry from Alexandria: a relaxed Ba2C2IO6 crystal (GGA-PBE).

Calculated values
Fermi-level density of states ... 0.05 states/eV per cell
Calculated density ... 3928 kg/m³
Size of the total moment ... 1.0 μB/f.u.
Crystal system ... triclinic
Uncorrected energy ... -74.6 eV/cell

abc: 5.5071 6.6791 6.8484
angles: 76.42 75.92 65.94
With the nearest neighbours (Å) after each atom.
Fractional positions:
Ba: 0.1885 0.2029 0.2256  6 O 2.66-2.84
Ba: 0.8115 0.7971 0.7744  6 O 2.66-2.84
C: 0.0772 0.1835 0.7951  3 O 1.28-1.31
C: 0.9228 0.8165 0.2049  3 O 1.28-1.31
I: 0.5000 0.5000 0.5000  2 O 2.99
O: 0.0002 0.1515 0.6415  1 C 1.31
O: 0.9998 0.8485 0.3585  1 C 1.31
O: 0.0501 0.6400 0.1224  1 C 1.28
O: 0.2850 0.0268 0.8647  1 C 1.30
O: 0.7150 0.9732 0.1353  1 C 1.30
O: 0.9499 0.3600 0.8776  1 C 1.28

***

(2)
Entry from Alexandria: a relaxed NaPmAlZn crystal (GGA-PBE).

Calculated values
Fermi-level density of states ... 2.36 states/eV per cell
Calculated density ... 4601 kg/m³
Size of the total moment ... 0.0 μB/f.u.
Formation enthalpy at 0 K ... -8 kJ per mole of atoms
Crystal system ... cubic
Uncorrected energy ... -11.4 eV/cell

abc: 5.1030 5.1030 5.1030
angles: 60.00 60.00 60.00
With the nearest neighbours (Å) after each atom.
Fractional positions:
Na: 0.0000 0.0000 0.0000  4 Zn 3.12, 4 Al 3.12
Pm: 0.5000 0.5000 0.5000  4 Zn 3.12, 4 Al 3.12
Al: 0.2500 0.2500 0.2500  4 Na 3.12, 4 Pm 3.12
Zn: 0.7500 0.7500 0.7500  4 Na 3.12, 4 Pm 3.12